Ho2MgAg5: relaxed, GGA-PBE.

Properties
Its calculated volume is 21.021 Å³/atom. As for the mass density: 8.82 g/cm³. Its formation energy is -170 kJ/mol of formula units. The total energy is -26.76 eV for the cell shown.

Unit cell a=5.0020 b=5.0020 c=7.5953 alpha=109.23 beta=109.23 gamma=90.00
Closest atoms and distances in Å follow each position.
Element x y z (fractional)
Ho1 0.7412 0.7412 0.4824  9 Ag 3.04-3.24
Ho2 0.2588 0.2588 0.5176  9 Ag 3.04-3.24
Mg1 0.0000 0.0000 0.0000  8 Ag 2.93
Ag1 0.5000 0.5000 0.0000  8 Ag 2.93, 2 Ho 3.24
Ag2 0.8869 0.3869 0.7738  2 Mg 2.93, 3 Ag 2.93-3.04, 4 Ho 3.04-3.18
Ag3 0.3869 0.8869 0.7738  2 Mg 2.93, 3 Ag 2.93-3.04, 4 Ho 3.04-3.18
Ag4 0.1131 0.6131 0.2262  2 Mg 2.93, 3 Ag 2.93-3.04, 4 Ho 3.04-3.18
Ag5 0.6131 0.1131 0.2262  2 Mg 2.93, 3 Ag 2.93-3.04, 4 Ho 3.04-3.18